Record 1
PmPr4In4 | Alexandria | GGA-PBE | optimized geometry; final energy = -4.017 eV per atom; formation energy from the elements = -0.148 eV/atom; total moment = 0.000 Bohr magnetons per cell
1.0
7.2784 0.0000 0.0000
0.0000 7.2784 0.0000
0.0000 0.0000 11.0757
Pm Pr In
2 8 8
direct
0.2500 0.7500 0.2500 Pm
0.7500 0.2500 0.7500 Pm
0.0262 0.2500 0.1767 Pr
0.2500 0.0262 0.6767 Pr
0.2500 0.4738 0.6767 Pr
0.4738 0.2500 0.1767 Pr
0.5262 0.7500 0.8233 Pr
0.7500 0.5262 0.3233 Pr
0.7500 0.9738 0.3233 Pr
0.9738 0.7500 0.8233 Pr
0.0149 0.2500 0.4777 In
0.2500 0.0149 0.9777 In
0.2500 0.4851 0.9777 In
0.4851 0.2500 0.4777 In
0.5149 0.7500 0.5223 In
0.7500 0.5149 0.0223 In
0.7500 0.9851 0.0223 In
0.9851 0.7500 0.5223 In

---

Record 2
Pm5Pr2In | Alexandria | GGA-PBE | optimized geometry; final energy = -4.617 eV per atom; formation energy from the elements = -0.111 eV/atom; total moment = 0.000 Bohr magnetons per cell
1.0
-2.5097 2.5097 10.4466
2.5097 -2.5097 10.4466
2.5097 2.5097 -10.4466
Pm Pr In
5 2 1
direct
0.0000 0.0000 0.0000 Pm
0.1196 0.6196 0.5000 Pm
0.3804 0.8804 0.5000 Pm
0.6196 0.1196 0.5000 Pm
0.8804 0.3804 0.5000 Pm
0.2468 0.2468 0.0000 Pr
0.7532 0.7532 0.0000 Pr
0.5000 0.5000 0.0000 In